## CaLaTl (PBE-GGA)

Data for crystalline CaLaTl at its relaxed geometry.

## Properties
Energy above the lowest structure with this stoichiometry: 141 meV per atom
Formation energy from the elements: -0.2576 eV/atom

```
data_CaLaTl
_chemical_formula_sum 'Ca2 La2 Tl2'
_space_group_name_H-M_alt 'P 1 m 1'
_space_group_IT_number 6
_space_group_name_Hall 'P -2y'
_cell_length_a 5.6366
_cell_length_b 3.7834
_cell_length_c 9.4548
_cell_angle_alpha 90.00
_cell_angle_beta 106.97
_cell_angle_gamma 90.00
loop_
_atom_site_label
_atom_site_fract_x
_atom_site_fract_y
_atom_site_fract_z
_atom_site_occupancy
Ca1 0.0000 0.0000 0.0000 1
Ca2 0.3682 0.0000 0.7337 1
La1 0.1796 0.5000 0.3659 1
La2 0.6818 0.0000 0.3694 1
Tl1 0.5284 0.5000 0.0575 1
Tl2 0.8413 0.5000 0.6791 1
```

## KCd2Tc (PBE-GGA)

Data for crystalline KCd2Tc at its relaxed geometry.

## Properties
Energy above the lowest structure with this stoichiometry: 0 meV per atom
Formation energy from the elements: 0.4956 eV/atom

```
data_KCd2Tc
_chemical_formula_sum 'K1 Cd2 Tc1'
_space_group_name_H-M_alt 'P 4/m m m'
_space_group_IT_number 123
_space_group_name_Hall '-P 4 2'
_cell_length_a 3.2451
_cell_length_b 3.2451
_cell_length_c 9.2327
_cell_angle_alpha 90.00
_cell_angle_beta 90.00
_cell_angle_gamma 90.00
loop_
_atom_site_label
_atom_site_fract_x
_atom_site_fract_y
_atom_site_fract_z
_atom_site_occupancy
K1 0.0000 0.0000 0.0000 1
Cd1 0.5000 0.5000 0.3105 1
Tc1 0.0000 0.0000 0.5000 1
```

## PrDyThSc (PBE-GGA)

Data for crystalline PrDyThSc at its relaxed geometry.

## Properties
Energy above the lowest structure with this stoichiometry: 0 meV per atom
Formation energy from the elements: 0.0430 eV/atom

```
data_PrDyThSc
_chemical_formula_sum 'Pr3 Dy3 Th3 Sc3'
_space_group_name_H-M_alt 'R 3 m'
_space_group_IT_number 160
_space_group_name_Hall 'R 3 -2"'
_cell_length_a 3.5529
_cell_length_b 3.5529
_cell_length_c 33.9397
_cell_angle_alpha 90.00
_cell_angle_beta 90.00
_cell_angle_gamma 120.00
loop_
_atom_site_label
_atom_site_fract_x
_atom_site_fract_y
_atom_site_fract_z
_atom_site_occupancy
Pr1 0.0000 0.0000 0.0000 1
Dy1 0.0000 0.0000 0.7565 1
Th1 0.0000 0.0000 0.1722 1
Sc1 0.0000 0.0000 0.5833 1
```

## Ba2In3SnHg4 (PBE-GGA)

Data for crystalline Ba2In3SnHg4 at its relaxed geometry.

## Properties
Formation energy from the elements: -0.3740 eV/atom

```
data_Ba2In3SnHg4
_chemical_formula_sum 'Ba2 In3 Sn1 Hg4'
_space_group_name_H-M_alt 'P -4 m 2'
_space_group_IT_number 115
_space_group_name_Hall 'P -4 -2'
_cell_length_a 5.0178
_cell_length_b 5.0178
_cell_length_c 12.0171
_cell_angle_alpha 90.00
_cell_angle_beta 90.00
_cell_angle_gamma 90.00
loop_
_atom_site_label
_atom_site_fract_x
_atom_site_fract_y
_atom_site_fract_z
_atom_site_occupancy
Ba1 0.0000 0.5000 0.2460 1
In1 0.0000 0.5000 0.8729 1
In2 0.5000 0.5000 0.5000 1
Sn1 0.0000 0.0000 0.5000 1
Hg1 0.0000 0.0000 0.0000 1
Hg2 0.0000 0.5000 0.6374 1
Hg3 0.5000 0.5000 0.0000 1
```

## MnTc2Ru (PBE-GGA)

Data for crystalline MnTc2Ru at its relaxed geometry.

## Properties
Energy above the lowest structure with this stoichiometry: 249 meV per atom
Formation energy from the elements: 0.3048 eV/atom

```
data_MnTc2Ru
_chemical_formula_sum 'Mn4 Tc8 Ru4'
_space_group_name_H-M_alt 'F m -3 m'
_space_group_IT_number 225
_space_group_name_Hall '-F 4 2 3'
_cell_length_a 6.0956
_cell_length_b 6.0956
_cell_length_c 6.0956
_cell_angle_alpha 90.00
_cell_angle_beta 90.00
_cell_angle_gamma 90.00
loop_
_atom_site_label
_atom_site_fract_x
_atom_site_fract_y
_atom_site_fract_z
_atom_site_occupancy
Mn1 0.0000 0.0000 0.0000 1
Tc1 0.2500 0.2500 0.2500 1
Ru1 0.0000 0.0000 0.5000 1
```

## Sc2NiP2 (PBE-GGA)

Data for crystalline Sc2NiP2 at its relaxed geometry.

## Properties
Formation energy from the elements: -1.0644 eV/atom

```
data_Sc2NiP2
_chemical_formula_sum 'Sc4 Ni2 P4'
_space_group_name_H-M_alt 'P 4/m b m'
_space_group_IT_number 127
_space_group_name_Hall '-P 4 2ab'
_cell_length_a 6.1579
_cell_length_b 6.1579
_cell_length_c 3.9610
_cell_angle_alpha 90.00
_cell_angle_beta 90.00
_cell_angle_gamma 90.00
loop_
_atom_site_label
_atom_site_fract_x
_atom_site_fract_y
_atom_site_fract_z
_atom_site_occupancy
Sc1 0.1756 0.3244 0.0000 1
Ni1 0.0000 0.0000 0.5000 1
P1 0.1309 0.6309 0.5000 1
```

no.,spin magnetization (μB/f.u.),total energy (Ha/atom)
1,0.0,-0.1233
2,2.2,-0.1039
3,0.0,-0.2109
4,0.0,-0.0772
5,3.1,-0.3487
6,0.0,-0.2542